Ce12PuIn6 | GGA-PBE | optimized geometry

Lattice parameters (Å, degrees): 8.8127 8.8127 8.8127 108.69 108.69 108.69
Atoms (fractional coordinates):
1 Ce 0.1362 0.8389 0.3077
2 Ce 0.1535 0.6008 0.4480
3 Ce 0.1611 0.6923 0.8638
4 Ce 0.3077 0.1362 0.8389
5 Ce 0.3992 0.5520 0.8465
6 Ce 0.4480 0.1535 0.6008
7 Ce 0.5520 0.8465 0.3992
8 Ce 0.6008 0.4480 0.1535
9 Ce 0.6923 0.8638 0.1611
10 Ce 0.8389 0.3077 0.1362
11 Ce 0.8465 0.3992 0.5520
12 Ce 0.8638 0.1611 0.6923
13 Pu 0.0000 0.0000 0.0000
14 In 0.0921 0.2078 0.4447
15 In 0.2078 0.4447 0.0921
16 In 0.4447 0.0921 0.2078
17 In 0.5553 0.9079 0.7922
18 In 0.7922 0.5553 0.9079
19 In 0.9079 0.7922 0.5553

Properties
- size of the total moment (μB per formula unit) = 11.72
- calculated volume (Å³/atom) = 28.503
- energy of formation (eV per formula unit) = -2.50
- symmetry = R-3, No. 148
- calculated density (Mg/m³) = 8.016
- D(E_F) (states/eV per atom) = 2.72
- VASP energy (eV per cell) = -104.47